# Li2SbRh

Li2SbRh after structural relaxation (GGA-PBE, Alexandria).

Cell and atoms, written as POSCAR:
```
Li2SbRh
1.0
3.4387 0.0000 0.0000
0.0000 3.4387 0.0000
0.0000 0.0000 5.3569
Li Sb Rh
2 1 1
Direct
0.0000 0.0000 0.2217
0.0000 0.0000 0.7783
0.5000 0.5000 0.5000
0.5000 0.5000 0.0000
```

space-group type = P4/mmm
formation energy (no corrections) = -0.29 eV/atom
VASP energy = -4.113 eV per atom

***

# Li2SbRh

Li2SbRh after structural relaxation (GGA-PBE, Alexandria).

Cell and atoms, written as POSCAR:
```
Li2SbRh
1.0
5.2697 0.0000 0.0000
0.0000 9.2454 0.0000
-1.4199 0.0000 2.7375
Li Sb Rh
4 2 2
Direct
0.2500 0.2500 0.0000
0.2500 0.7500 0.0000
0.7500 0.2500 0.0000
0.7500 0.7500 0.0000
0.0000 0.0000 0.5000
0.5000 0.5000 0.5000
0.0000 0.5000 0.5000
0.5000 0.0000 0.5000
```

space-group type = C2/m
formation energy (no corrections) = -0.30 eV/atom
VASP energy = -4.129 eV per atom

***

What is the formula in the first record?
Li2SbRh